1.
5
Lattice="-2.219 -0.341 -4.771 -1.088 -5.085 0.869 -3.013 0.873 1.339" Properties=species:S:1:pos:R:3 comment="PBE NiTe2MoN, optimized geometry" m_tot_mub_per_fu=2.690 raw_formation_energy_ev_per_atom=0.75 dft_energy_ev_per_cell=-27.46 rho_g_cm3=7.4 pbc="T T T"
Ni 0.000 0.000 0.000
Mo -3.160 -2.276 -1.281
Te -0.544 -2.543 0.435
Te -1.109 -0.170 -2.385
N -1.506 0.437 0.669

2.
18
Lattice="3.303 0.000 0.000 -1.652 6.867 0.000 0.000 0.000 10.118" Properties=species:S:1:pos:R:3 comment="PBE Th2NiMoN5, optimized geometry" m_tot_mub_per_fu=1.061 raw_formation_energy_ev_per_atom=-0.81 dft_energy_ev_per_cell=-160.75 rho_g_cm3=10.0 pbc="T T T"
N 1.652 2.116 5.136
N 0.000 4.750 0.077
N 0.000 4.290 3.739
N 1.652 6.168 5.593
N 0.000 4.004 6.638
N 1.652 2.863 1.579
N 0.000 6.806 7.851
N 0.000 0.698 0.534
N 1.652 2.577 8.798
N 1.652 0.061 2.791
Th 1.652 5.042 8.232
Th 1.652 5.294 1.877
Th 0.000 1.572 6.936
Th 0.000 1.824 3.173
Mo 0.000 2.662 0.137
Mo 1.652 4.204 5.196
Ni 1.652 0.735 9.608
Ni 0.000 6.132 4.549

3.
5
Lattice="-1.453 -3.964 3.404 2.748 1.104 2.459 -3.509 3.359 2.414" Properties=species:S:1:pos:R:3 comment="PBE Y2NiMoN, optimized geometry" m_tot_mub_per_fu=0.000 raw_formation_energy_ev_per_atom=0.53 dft_energy_ev_per_cell=-35.20 rho_g_cm3=5.1 pbc="T T T"
N 1.374 0.552 1.229
Ni -1.107 0.249 4.138
Y -1.754 1.680 1.207
Y -0.727 -1.982 1.702
Mo 0.000 0.000 0.000

4.
5
Lattice="4.101 0.000 0.000 0.000 4.101 0.000 0.000 0.000 3.804" Properties=species:S:1:pos:R:3 comment="PBE ZnNiMo2N, optimized geometry" m_tot_mub_per_fu=0.000 raw_formation_energy_ev_per_atom=-0.09 dft_energy_ev_per_cell=-37.47 rho_g_cm3=8.6 pbc="T T T"
Zn 2.051 2.051 1.902
N 0.000 0.000 0.000
Ni 0.000 0.000 1.902
Mo 0.000 2.051 0.000
Mo 2.051 0.000 0.000

5.
5
Lattice="-4.672 1.645 -0.687 -1.333 -3.006 1.871 0.267 2.553 4.292" Properties=species:S:1:pos:R:3 comment="PBE Zn2NiMoN, optimized geometry" m_tot_mub_per_fu=1.256 raw_formation_energy_ev_per_atom=1.01 dft_energy_ev_per_cell=-22.44 rho_g_cm3=5.3 pbc="T T T"
Zn 0.134 1.276 2.146
Zn -2.336 0.823 -0.344
N -0.667 -1.503 0.935
Mo 0.000 0.000 0.000
Ni -2.869 0.596 2.738

6.
4
Lattice="-3.194 1.429 -0.440 -2.803 -2.075 -0.523 -2.900 -0.454 5.452" Properties=species:S:1:pos:R:3 comment="PBE NpMoN2, optimized geometry" m_tot_mub_per_fu=3.398 raw_formation_energy_ev_per_atom=-0.40 dft_energy_ev_per_cell=-42.01 rho_g_cm3=9.5 pbc="T T T"
N -6.295 -0.725 0.953
N -2.601 -0.375 3.537
Np -4.448 -0.550 2.245
Mo 0.000 0.000 0.000